The following is a PBE calculation of a geometry-optimized Pm2Sm3Ag4 structure, from the Alexandria database.

Properties
magnetic moment = 0.00 Bohr magnetons per cell
DOS(E_F) = 1.11 states/eV per atom
final energy = -4.023 eV/atom

Cell lengths 6.9593, 18.4968, 7.7873 Å; angles 90.00, 90.00, 90.00 degrees
Closest atoms and distances in Å follow each position.
Space group Cmce (No. 64)
Inequivalent atoms, fractional coordinates:
Pm  0.0000  0.0955  0.0800  3 Ag 3.13-3.36
Sm  0.0000  0.0000  0.5000  6 Ag 2.96-2.98
Sm  0.2500  0.2423  0.7500  5 Ag 3.09-3.10
Ag  0.0000  0.1608  0.4826  5 Sm 2.98-3.10, 2 Ag 3.14
Ag  0.2500  0.0754  0.7500  3 Sm 2.96-3.09, 2 Pm 3.13, 2 Ag 3.14

***

The following is a PBE calculation of a geometry-optimized Pm6Sm2Ag structure, from the Alexandria database.

Properties
magnetic moment = 0.00 Bohr magnetons per cell
DOS(E_F) = 1.51 states/eV per atom
final energy = -4.429 eV/atom

Cell lengths 9.5961, 17.5668, 3.5591 Å; angles 90.00, 90.00, 90.00 degrees
Closest atoms and distances in Å follow each position.
Space group Cmmm (No. 65)
Inequivalent atoms, fractional coordinates:
Pm  0.1718  0.1634  0.0000  6 Pm 3.30-3.56, 1 Ag 3.31, 2 Sm 3.62
Pm  0.2142  0.5000  0.5000  2 Ag 3.27, 6 Pm 3.55-3.56
Sm  0.0000  0.3237  0.5000  2 Sm 3.56, 10 Pm 3.62-3.72
Ag  0.0000  0.0000  0.0000  8 Pm 3.27-3.31, 2 Ag 3.56

***

The following is a PBE calculation of a geometry-optimized Pm5SmAg6 structure, from the Alexandria database.

Properties
magnetic moment = 0.00 Bohr magnetons per cell
DOS(E_F) = 0.71 states/eV per atom
final energy = -4.070 eV/atom

Cell lengths 5.3073, 7.3648, 8.3697 Å; angles 90.00, 108.01, 90.00 degrees
Closest atoms and distances in Å follow each position.
Space group P2/m (No. 10)
Inequivalent atoms, fractional coordinates:
Pm  0.0000  0.0000  0.0000  8 Ag 3.23-3.24
Pm  0.3332  0.0000  0.6663  8 Ag 3.23-3.24
Pm  0.3335  0.5000  0.6670  8 Ag 3.22-3.24
Sm  0.0000  0.5000  0.0000  8 Ag 3.22
Ag  0.1661  0.2507  0.3323  1 Sm 3.22, 7 Pm 3.23-3.24
Ag  0.5000  0.2517  0.0000  6 Pm 3.22-3.24, 2 Sm 3.22

***

The following is a PBE calculation of a geometry-optimized PmSm2Ag2 structure, from the Alexandria database.

Properties
relative energy among the computed polymorphs = 0 meV/atom
magnetic moment = 0.00 Bohr magnetons per cell
DOS(E_F) = 0.91 states/eV per atom
final energy = -4.181 eV/atom

Cell lengths 3.7224, 5.3735, 13.8297 Å; angles 90.00, 97.70, 90.00 degrees
Closest atoms and distances in Å follow each position.
Space group P2_1/m (No. 11)
Inequivalent atoms, fractional coordinates:
Pm  0.1449  0.2500  0.2903  6 Ag 3.27-3.28, 2 Sm 3.64
Sm  0.0479  0.7500  0.0954  8 Ag 3.19-3.27
Sm  0.2352  0.7500  0.4692  2 Ag 3.15, 4 Sm 3.37-3.38
Ag  0.3576  0.2500  0.7159  4 Sm 3.15-3.19, 4 Pm 3.27
Ag  0.4534  0.7500  0.9064  6 Sm 3.19-3.27, 2 Pm 3.28

***

The following is a PBE calculation of a geometry-optimized Pm2Sm2Ag3 structure, from the Alexandria database.

Properties
magnetic moment = 1.15 Bohr magnetons per cell
DOS(E_F) = 1.29 states/eV per atom
final energy = -4.046 eV/atom

Cell lengths 9.0117, 5.2189, 8.9712 Å; angles 90.00, 109.45, 90.00 degrees
Closest atoms and distances in Å follow each position.
Space group C2/m (No. 12)
Inequivalent atoms, fractional coordinates:
Pm  0.1263  0.0000  0.3809  5 Ag 3.14-3.22
Sm  0.1230  0.5000  0.8678  7 Ag 3.16-3.21
Ag  0.0000  0.0000  0.0000  6 Sm 3.20-3.21, 2 Pm 3.22
Ag  0.2493  0.5000  0.2475  4 Pm 3.14-3.22, 4 Sm 3.16-3.21

***

The following is a PBE calculation of a geometry-optimized Pm2SmAg structure, from the Alexandria database.

Properties
relative energy among the computed polymorphs = 121 meV/atom
magnetic moment = 0.00 Bohr magnetons per cell
DOS(E_F) = 1.28 states/eV per atom
final energy = -4.262 eV/atom

Cell lengths 3.6687, 3.6687, 31.9423 Å; angles 90.00, 90.00, 120.00 degrees
Closest atoms and distances in Å follow each position.
Space group R3m (No. 160, hexagonal axes)
Inequivalent atoms, fractional coordinates:
Pm  0.0000  0.0000  0.0000  3 Ag 3.18
Pm  0.0000  0.0000  0.1852  3 Ag 3.17
Sm  0.0000  0.0000  0.7597  6 Pm 3.63-3.65, 6 Sm 3.67
Ag  0.0000  0.0000  0.5922  6 Pm 3.17-3.18

***

The following is a PBE calculation of a geometry-optimized PmSm3Ag4 structure, from the Alexandria database.

Properties
magnetic moment = 0.00 Bohr magnetons per cell
DOS(E_F) = 0.65 states/eV per atom
final energy = -4.068 eV/atom

Cell lengths 3.7159, 3.7159, 14.8613 Å; angles 90.00, 90.00, 90.00 degrees
Closest atoms and distances in Å follow each position.
Space group P4/mmm (No. 123)
Inequivalent atoms, fractional coordinates:
Pm  0.0000  0.0000  0.0000  8 Ag 3.23
Sm  0.0000  0.0000  0.2506  8 Ag 3.21
Sm  0.0000  0.0000  0.5000  8 Ag 3.22
Ag  0.5000  0.5000  0.1269  4 Sm 3.21, 4 Pm 3.23
Ag  0.5000  0.5000  0.3750  8 Sm 3.21-3.22

***

The following is a PBE calculation of a geometry-optimized PmSm2Ag6 structure, from the Alexandria database.

Properties
relative energy among the computed polymorphs = 67 meV/atom
magnetic moment = 0.00 Bohr magnetons per cell
DOS(E_F) = 0.82 states/eV per atom
final energy = -3.668 eV/atom

Cell lengths 3.5960, 8.0075, 14.8765 Å; angles 90.00, 90.00, 90.00 degrees
Closest atoms and distances in Å follow each position.
Space group Immm (No. 71)
Inequivalent atoms, fractional coordinates:
Pm  0.0000  0.0000  0.0000  12 Ag 3.12-3.48
Sm  0.0000  0.5000  0.1410  10 Ag 3.09-3.18
Ag  0.0000  0.1811  0.5000  3 Ag 2.83-2.90, 4 Sm 3.12, 2 Pm 3.12
Ag  0.0000  0.3208  0.3249  4 Ag 2.83-3.08, 1 Sm 3.09

***

The following is a PBE calculation of a geometry-optimized Pm2SmAg structure, from the Alexandria database.

Properties
relative energy among the computed polymorphs = 7 meV/atom
magnetic moment = 0.00 Bohr magnetons per cell
DOS(E_F) = 1.58 states/eV per atom
final energy = -4.376 eV/atom

Cell lengths 3.6900, 3.6900, 8.8861 Å; angles 90.00, 90.00, 90.00 degrees
Closest atoms and distances in Å follow each position.
Space group P4/mmm (No. 123)
Inequivalent atoms, fractional coordinates:
Pm  0.0000  0.0000  0.2144  4 Ag 3.23
Sm  0.5000  0.5000  0.5000  8 Pm 3.64, 4 Sm 3.69
Ag  0.5000  0.5000  0.0000  8 Pm 3.23

***

The following is a PBE calculation of a geometry-optimized Pm2SmAg structure, from the Alexandria database.

Properties
relative energy among the computed polymorphs = 0 meV/atom
magnetic moment = 0.00 Bohr magnetons per cell
DOS(E_F) = 1.25 states/eV per atom
final energy = -4.383 eV/atom

Cell lengths 3.7577, 10.1952, 6.5546 Å; angles 90.00, 106.64, 90.00 degrees
Closest atoms and distances in Å follow each position.
Space group P2_1/m (No. 11)
Inequivalent atoms, fractional coordinates:
Pm  0.1314  0.0460  0.2652  3 Ag 3.12-3.41, 1 Pm 3.46
Sm  0.4442  0.2500  0.8886  2 Ag 3.17
Ag  0.2602  0.7500  0.5181  6 Pm 3.12-3.41, 2 Sm 3.17

***

The following is a PBE calculation of a geometry-optimized Pm2SmAg structure, from the Alexandria database.

Properties
relative energy among the computed polymorphs = 27 meV/atom
magnetic moment = 0.00 Bohr magnetons per cell
DOS(E_F) = 1.08 states/eV per atom
final energy = -4.356 eV/atom

Cell lengths 7.0477, 10.4719, 6.6524 Å; angles 90.00, 90.00, 90.00 degrees
Closest atoms and distances in Å follow each position.
Space group Pnma (No. 62)
Inequivalent atoms, fractional coordinates:
Pm  0.1948  0.0445  0.1746  2 Ag 3.06-3.09
Sm  0.0076  0.2500  0.6257  2 Ag 3.07-3.08
Ag  0.0979  0.7500  0.9265  4 Pm 3.06-3.09, 2 Sm 3.07-3.08

***

The following is a PBE calculation of a geometry-optimized Pm3Sm2Ag3 structure, from the Alexandria database.

Properties
magnetic moment = 0.00 Bohr magnetons per cell
DOS(E_F) = 1.03 states/eV per atom
final energy = -4.215 eV/atom

Cell lengths 3.7625, 5.3935, 22.0383 Å; angles 90.00, 90.00, 90.00 degrees
Closest atoms and distances in Å follow each position.
Space group Immm (No. 71)
Inequivalent atoms, fractional coordinates:
Pm  0.0000  0.0000  0.0000  8 Ag 3.20-3.29
Pm  0.0000  0.5000  0.1204  6 Ag 3.25-3.29, 2 Sm 3.64
Sm  0.0000  0.0000  0.2314  2 Ag 3.14, 4 Sm 3.39
Ag  0.0000  0.0000  0.5000  8 Pm 3.25-3.29
Ag  0.0000  0.5000  0.3825  2 Sm 3.14, 6 Pm 3.20-3.29

***

The following is a PBE calculation of a geometry-optimized PmSmAg2 structure, from the Alexandria database.

Properties
relative energy among the computed polymorphs = 0 meV/atom
magnetic moment = 0.00 Bohr magnetons per cell
DOS(E_F) = 0.65 states/eV per atom
final energy = -4.070 eV/atom

Cell lengths 3.7211, 3.7211, 7.4423 Å; angles 90.00, 90.00, 90.00 degrees
Closest atoms and distances in Å follow each position.
Space group P4/mmm (No. 123)
Inequivalent atoms, fractional coordinates:
Pm  0.0000  0.0000  0.0000  8 Ag 3.24
Sm  0.0000  0.0000  0.5000  8 Ag 3.21
Ag  0.5000  0.5000  0.2535  4 Sm 3.21, 4 Pm 3.24

***

The following is a PBE calculation of a geometry-optimized PmSm3Ag2 structure, from the Alexandria database.

Properties
magnetic moment = 0.00 Bohr magnetons per cell
DOS(E_F) = 1.17 states/eV per atom
final energy = -4.272 eV/atom

Cell lengths 3.6984, 3.6984, 12.5447 Å; angles 90.00, 90.00, 90.00 degrees
Closest atoms and distances in Å follow each position.
Space group P4/mmm (No. 123)
Inequivalent atoms, fractional coordinates:
Pm  0.0000  0.0000  0.0000  8 Sm 3.65, 4 Pm 3.70
Sm  0.5000  0.5000  0.2035  4 Ag 3.20
Sm  0.5000  0.5000  0.5000  8 Ag 3.22
Ag  0.0000  0.0000  0.3507  8 Sm 3.20-3.22

***

The following is a PBE calculation of a geometry-optimized PmSm5Ag4 structure, from the Alexandria database.

Properties
magnetic moment = 0.00 Bohr magnetons per cell
DOS(E_F) = 0.79 states/eV per atom
final energy = -4.196 eV/atom

Cell lengths 3.6901, 3.6901, 20.0949 Å; angles 90.00, 90.00, 90.00 degrees
Closest atoms and distances in Å follow each position.
Space group P4/mmm (No. 123)
Inequivalent atoms, fractional coordinates:
Pm  0.0000  0.0000  0.0000  8 Sm 3.65, 4 Pm 3.69
Sm  0.5000  0.5000  0.1269  4 Ag 3.20
Sm  0.5000  0.5000  0.3127  8 Ag 3.21-3.22
Sm  0.5000  0.5000  0.5000  8 Ag 3.21
Ag  0.0000  0.0000  0.2195  8 Sm 3.20-3.21
Ag  0.0000  0.0000  0.4068  8 Sm 3.21-3.22

***

The following is a PBE calculation of a geometry-optimized Pm12Sm5Ag3 structure, from the Alexandria database.

Properties
magnetic moment = 0.02 Bohr magnetons per cell
DOS(E_F) = 1.68 states/eV per atom
final energy = -3.676 eV/atom

Cell lengths 18.0423, 18.0423, 18.0423 Å; angles 90.00, 90.00, 90.00 degrees
Closest atoms and distances in Å follow each position.
Space group Ia-3d (No. 230)
Inequivalent atoms, fractional coordinates:
Pm  0.0097  0.0834  0.6527  2 Ag 3.05-3.35, 2 Sm 3.11-3.14, 1 Pm 3.12
Sm  0.0000  0.0000  0.0000  6 Pm 3.14
Sm  0.0000  0.2500  0.3750  4 Pm 3.11
Ag  0.0000  0.2500  0.1250  8 Pm 3.05-3.35

***

The following is a PBE calculation of a geometry-optimized Pm6SmAg2 structure, from the Alexandria database.

Properties
magnetic moment = 0.00 Bohr magnetons per cell
DOS(E_F) = 1.22 states/eV per atom
final energy = -4.430 eV/atom

Cell lengths 12.7713, 3.7550, 12.1059 Å; angles 90.00, 108.60, 90.00 degrees
Closest atoms and distances in Å follow each position.
Space group C2/m (No. 12)
Inequivalent atoms, fractional coordinates:
Pm  0.0230  0.0000  0.3343  2 Ag 3.19, 1 Pm 3.52
Pm  0.1861  0.5000  0.8763  2 Ag 3.21, 5 Pm 3.47-3.58
Pm  0.1874  0.5000  0.5888  2 Ag 3.33, 8 Pm 3.49-3.65
Sm  0.0000  0.0000  0.0000  4 Ag 3.16
Ag  0.1456  0.5000  0.2009  2 Sm 3.16, 6 Pm 3.19-3.33

***

The following is a PBE calculation of a geometry-optimized PmSmAg2 structure, from the Alexandria database.

Properties
relative energy among the computed polymorphs = 244 meV/atom
magnetic moment = 0.00 Bohr magnetons per cell
DOS(E_F) = 0.97 states/eV per atom
final energy = -3.826 eV/atom

Cell lengths 3.9184, 3.9184, 25.5830 Å; angles 90.00, 90.00, 120.00 degrees
Closest atoms and distances in Å follow each position.
Space group R-3m (No. 166, hexagonal axes)
Inequivalent atoms, fractional coordinates:
Pm  0.0000  0.0000  0.0000  6 Ag 3.12
Sm  0.0000  0.0000  0.5000  6 Ag 3.10
Ag  0.0000  0.0000  0.2495  3 Sm 3.10, 3 Pm 3.12

***

The following is a PBE calculation of a geometry-optimized PmSm2Ag6 structure, from the Alexandria database.

Properties
relative energy among the computed polymorphs = 0 meV/atom
magnetic moment = 0.00 Bohr magnetons per cell
DOS(E_F) = 0.75 states/eV per atom
final energy = -3.735 eV/atom

Cell lengths 8.3073, 8.3073, 3.5275 Å; angles 90.00, 90.00, 120.00 degrees
Closest atoms and distances in Å follow each position.
Space group P6/mmm (No. 191)
Inequivalent atoms, fractional coordinates:
Pm  0.0000  0.0000  0.0000  12 Ag 3.29, 2 Pm 3.53
Sm  0.3333  0.6667  0.0000  12 Ag 3.28, 2 Sm 3.53
Ag  0.0000  0.3337  0.5000  3 Ag 2.76-2.77

***

The following is a PBE calculation of a geometry-optimized PmSm3Ag structure, from the Alexandria database.

Properties
magnetic moment = 0.00 Bohr magnetons per cell
DOS(E_F) = 1.34 states/eV per atom
final energy = -4.292 eV/atom

Cell lengths 11.7189, 8.4986, 7.9748 Å; angles 90.00, 122.49, 90.00 degrees
Closest atoms and distances in Å follow each position.
Space group C2/m (No. 12)
Inequivalent atoms, fractional coordinates:
Pm  0.0806  0.0000  0.2651  2 Ag 3.09-3.19, 2 Sm 3.45
Sm  0.0513  0.5000  0.3064  1 Ag 3.10
Sm  0.1781  0.2055  0.6956  2 Ag 3.02-3.10
Ag  0.2374  0.0000  0.0543  5 Sm 3.02-3.10, 2 Pm 3.09-3.19